## Mn2ZnSi (GGA-PBE)

Data for crystalline Mn2ZnSi at its relaxed geometry.

Properties
* uncorrected formation energy: 27 meV/atom

abc: 2.865 2.865 5.784
angles: 90.00 90.00 90.00
Atoms (fractional coordinates):
Mn 0.000 0.000 0.000
Mn 0.500 0.500 0.242
Zn 0.500 0.500 0.742
Si 0.000 0.000 0.458

***

## PPdRu (GGA-PBE)

Data for crystalline PPdRu at its relaxed geometry.

Properties
* DFT formation energy: -1.41 eV per formula unit

abc: 3.961 3.961 3.961
angles: 60.00 60.00 60.00
Atoms (fractional coordinates):
P 0.000 0.000 0.000
Pd 0.250 0.250 0.250
Ru 0.750 0.750 0.750

***

## MgZr2SiOs (GGA-PBE)

Data for crystalline MgZr2SiOs at its relaxed geometry.

Properties
* uncorrected formation energy: 260 meV/atom

abc: 5.119 5.119 4.583
angles: 90.00 90.00 90.00
Atoms (fractional coordinates):
Mg 0.000 0.000 0.000
Zr 0.000 0.500 0.500
Zr 0.500 0.000 0.500
Si 0.500 0.500 0.000
Os 0.500 0.500 0.500

***

## Ba2Cd3GaAg4 (GGA-PBE)

Data for crystalline Ba2Cd3GaAg4 at its relaxed geometry.

Properties
* DFT formation energy: -2.29 eV per formula unit

abc: 4.957 4.957 10.935
angles: 90.00 90.00 90.00
Atoms (fractional coordinates):
Ba 0.000 0.500 0.249
Ba 0.500 0.000 0.751
Cd 0.000 0.000 0.000
Cd 0.000 0.500 0.628
Cd 0.500 0.000 0.372
Ga 0.500 0.500 0.000
Ag 0.000 0.000 0.500
Ag 0.000 0.500 0.884
Ag 0.500 0.000 0.116
Ag 0.500 0.500 0.500

***

## Na4HfZr3S8 (GGA-PBE)

Data for crystalline Na4HfZr3S8 at its relaxed geometry.

Properties
* uncorrected formation energy: -1486 meV/atom

abc: 8.056 8.056 8.056
angles: 54.22 54.22 54.22
Atoms (fractional coordinates):
Na 0.000 0.000 0.000
Na 0.000 0.500 0.500
Na 0.500 0.000 0.500
Na 0.500 0.500 0.000
Hf 0.500 0.500 0.500
Zr 0.000 0.000 0.500
Zr 0.000 0.500 0.000
Zr 0.500 0.000 0.000
S 0.242 0.242 0.242
S 0.246 0.739 0.739
S 0.261 0.261 0.754
S 0.261 0.754 0.261
S 0.739 0.246 0.739
S 0.739 0.739 0.246
S 0.754 0.261 0.261
S 0.758 0.758 0.758

***

## PmHoTcPd (GGA-PBE)

Data for crystalline PmHoTcPd at its relaxed geometry.

Properties
* DFT formation energy: -1.18 eV per formula unit

abc: 4.935 4.935 4.935
angles: 60.00 60.00 60.00
Atoms (fractional coordinates):
Pm 0.000 0.000 0.000
Ho 0.500 0.500 0.500
Tc 0.750 0.750 0.750
Pd 0.250 0.250 0.250

***

## BaZnAg4 (GGA-PBE)

Data for crystalline BaZnAg4 at its relaxed geometry.

Properties
* E above lowest polymorph: 229 meV/atom
* DFT formation energy: 1.07 eV per formula unit

abc: 4.894 4.894 7.524
angles: 90.00 90.00 90.00
Atoms (fractional coordinates):
Ba 0.000 0.000 0.000
Zn 0.500 0.500 0.500
Ag 0.000 0.500 0.500
Ag 0.500 0.000 0.500
Ag 0.500 0.500 0.175
Ag 0.500 0.500 0.825

***

## ZrRe2Tc (GGA-PBE)

Data for crystalline ZrRe2Tc at its relaxed geometry.

Properties
* E above lowest polymorph: 32 meV/atom
* DFT formation energy: -0.14 eV per formula unit

abc: 3.169 3.169 6.527
angles: 90.00 90.00 90.00
Atoms (fractional coordinates):
Zr 0.000 0.000 0.000
Re 0.000 0.000 0.502
Re 0.500 0.500 0.271
Tc 0.500 0.500 0.742

***

| no. | final energy (eV/atom) |
| --- | --- |
| 1 | -6.232 |
| 2 | -7.095 |
| 3 | -6.808 |
| 4 | -2.332 |
| 5 | -6.104 |
| 6 | -6.517 |
| 7 | -2.255 |
| 8 | -10.987 |